1.
The following is a GGA-PBE calculation of ZnB3S after structural relaxation, from the Alexandria database.

a = 3.8427 Å, b = 3.8427 Å, c = 3.8427 Å
α = 90.00°, β = 90.00°, γ = 90.00°
With the nearest neighbours (Å) after each atom.
Fractional coordinates of all 5 atoms:
1 B 0.5000 0.0000 0.0000  2 S 1.92
2 S 0.0000 0.0000 0.0000  6 B 1.92
3 B 0.0000 0.0000 0.5000  2 S 1.92
4 Zn 0.5000 0.5000 0.5000  12 B 2.72
5 B 0.0000 0.5000 0.0000  2 S 1.92

Computed properties:
The value obtained for the calculated total energy is -17.1 eV per cell. As for the space group: Pm-3m, No. 221.

2.
The following is a GGA-PBE calculation of Zn3BS after structural relaxation, from the Alexandria database.

a = 4.6494 Å, b = 4.6494 Å, c = 4.6494 Å
α = 90.00°, β = 90.00°, γ = 90.00°
With the nearest neighbours (Å) after each atom.
Fractional coordinates of all 5 atoms:
1 Zn 0.5000 0.0000 0.0000  2 S 2.32
2 Zn 0.0000 0.5000 0.0000  2 S 2.32
3 S 0.0000 0.0000 0.0000  6 Zn 2.32
4 B 0.5000 0.5000 0.5000  12 Zn 3.29
5 Zn 0.0000 0.0000 0.5000  2 S 2.32

Computed properties:
The value obtained for the calculated total energy is -8.6 eV per cell. As for the space group: Pm-3m, No. 221.

3.
The following is a GGA-PBE calculation of Zn2BS after structural relaxation, from the Alexandria database.

a = 4.3181 Å, b = 4.3181 Å, c = 4.3181 Å
α = 60.00°, β = 60.00°, γ = 60.00°
With the nearest neighbours (Å) after each atom.
Fractional coordinates of all 4 atoms:
1 Zn 0.7500 0.7500 0.7500  4 S 2.64, 4 B 2.64
2 Zn 0.2500 0.2500 0.2500  4 S 2.64, 4 B 2.64
3 S 0.5000 0.5000 0.5000  8 Zn 2.64
4 B 0.0000 0.0000 0.0000  8 Zn 2.64

Computed properties:
The value obtained for the calculated total energy is -9.6 eV per cell. As for the space group: Fm-3m, No. 225.

4.
The following is a GGA-PBE calculation of ZnBS3 after structural relaxation, from the Alexandria database.

a = 3.9634 Å, b = 6.0760 Å, c = 6.0757 Å
α = 52.95°, β = 101.51°, γ = 101.51°
With the nearest neighbours (Å) after each atom.
Fractional coordinates of all 5 atoms:
1 S 0.0120 0.4885 0.5136  1 B 1.86
2 Zn 0.5120 0.2429 0.7591  4 S 2.37-2.39
3 B 0.0120 0.8316 0.1705  3 S 1.79-1.86
4 S 0.7301 0.8347 0.8995  1 B 1.79
5 S 0.2939 0.1026 0.1673  1 B 1.79

Computed properties:
The value obtained for the calculated total energy is -21.3 eV per cell. As for the space group: C2, No. 5.

5.
The following is a GGA-PBE calculation of ZnB3S after structural relaxation, from the Alexandria database.

a = 4.0729 Å, b = 4.0729 Å, c = 4.0729 Å
α = 90.00°, β = 90.00°, γ = 90.00°
With the nearest neighbours (Å) after each atom.
Fractional coordinates of all 5 atoms:
1 B 0.5000 0.0000 0.0000  2 Zn 2.04
2 B 0.0000 0.5000 0.0000  2 Zn 2.04
3 Zn 0.0000 0.0000 0.0000  6 B 2.04
4 S 0.5000 0.5000 0.5000  12 B 2.88
5 B 0.0000 0.0000 0.5000  2 Zn 2.04

Computed properties:
The value obtained for the calculated total energy is -15.7 eV per cell. As for the space group: Pm-3m, No. 221.

6.
The following is a GGA-PBE calculation of ZnB2S after structural relaxation, from the Alexandria database.

a = 4.0005 Å, b = 4.0005 Å, c = 4.0005 Å
α = 60.00°, β = 60.00°, γ = 60.00°
With the nearest neighbours (Å) after each atom.
Fractional coordinates of all 4 atoms:
1 S 0.0000 0.0000 0.0000  8 B 2.45
2 B 0.7500 0.7500 0.7500  4 S 2.45, 4 Zn 2.45
3 Zn 0.5000 0.5000 0.5000  8 B 2.45
4 B 0.2500 0.2500 0.2500  4 Zn 2.45, 4 S 2.45

Computed properties:
The value obtained for the calculated total energy is -12.2 eV per cell. As for the space group: Fm-3m, No. 225.